(1)
# SmY2Er8 | Alexandria via LeMat-Bulk | PBE | optimized geometry
# Uncorrected energy in eV/atom: -4.8030
# E_form in kJ per mole of atoms: 12
# Energy above the most stable polymorph in this dataset in eV/atom: 0.000
# Density of states at the Fermi level in states/eV/cell: 30.6
data_SmY2Er8
_cell_length_a 5.4715
_cell_length_b 8.0403
_cell_length_c 15.8659
_cell_angle_alpha 90.00
_cell_angle_beta 90.00
_cell_angle_gamma 90.00
_space_group_name_H-M_alt 'I m m m'
_space_group_IT_number 71
_space_group_name_Hall '-I 2 2'
loop_
_atom_site_label
_atom_site_type_symbol
_atom_site_fract_x
_atom_site_fract_y
_atom_site_fract_z
Sm1 Sm 0.0000 0.0000 0.0000
Y1 Y 0.0000 0.0000 0.2992
Er1 Er 0.0000 0.2062 0.5000
Er2 Er 0.0000 0.2929 0.1382
Er3 Er 0.0000 0.5000 0.3375

(2)
# Sm5Y6Er | Alexandria via LeMat-Bulk | PBE | optimized geometry
# Uncorrected energy in eV/atom: -5.5633
# E_form in kJ per mole of atoms: 1
# Density of states at the Fermi level in states/eV/cell: 31.8
data_Sm5Y6Er
_cell_length_a 6.2235
_cell_length_b 10.7708
_cell_length_c 11.8604
_cell_angle_alpha 90.00
_cell_angle_beta 100.01
_cell_angle_gamma 90.00
_space_group_name_H-M_alt 'C 1 2/m 1'
_space_group_IT_number 12
_space_group_name_Hall '-C 2y'
loop_
_atom_site_label
_atom_site_type_symbol
_atom_site_fract_x
_atom_site_fract_y
_atom_site_fract_z
Sm1 Sm 0.0000 0.0000 0.0000
Sm2 Sm 0.0000 0.1665 0.5000
Sm3 Sm 0.0000 0.3334 0.0000
Y1 Y 0.2495 0.3336 0.7491
Y2 Y 0.2503 0.0000 0.7494
Er1 Er 0.0000 0.5000 0.5000

(3)
# Sm8YEr3 | Alexandria via LeMat-Bulk | PBE | optimized geometry
# Uncorrected energy in eV/atom: -4.7059
# E_form in kJ per mole of atoms: 12
# Density of states at the Fermi level in states/eV/cell: 49.2
data_Sm8YEr3
_cell_length_a 6.9910
_cell_length_b 11.9375
_cell_length_c 9.7901
_cell_angle_alpha 90.00
_cell_angle_beta 104.26
_cell_angle_gamma 90.00
_space_group_name_H-M_alt 'C 1 2/m 1'
_space_group_IT_number 12
_space_group_name_Hall '-C 2y'
loop_
_atom_site_label
_atom_site_type_symbol
_atom_site_fract_x
_atom_site_fract_y
_atom_site_fract_z
Sm1 Sm 0.0712 0.2463 0.3330
Sm2 Sm 0.1793 0.0000 0.1623
Sm3 Sm 0.1789 0.5000 0.1689
Y1 Y 0.0000 0.5000 0.5000
Er1 Er 0.0000 0.0000 0.5000
Er2 Er 0.2500 0.2500 0.0000

(4)
# SmY7Er4 | Alexandria via LeMat-Bulk | PBE | optimized geometry
# Uncorrected energy in eV/atom: -5.3909
# E_form in kJ per mole of atoms: 28
# Energy above the most stable polymorph in this dataset in eV/atom: 0.206
# Density of states at the Fermi level in states/eV/cell: 44.6
data_SmY7Er4
_cell_length_a 12.0483
_cell_length_b 5.8514
_cell_length_c 12.6684
_cell_angle_alpha 90.00
_cell_angle_beta 117.58
_cell_angle_gamma 90.00
_space_group_name_H-M_alt 'C 1 2/m 1'
_space_group_IT_number 12
_space_group_name_Hall '-C 2y'
loop_
_atom_site_label
_atom_site_type_symbol
_atom_site_fract_x
_atom_site_fract_y
_atom_site_fract_z
Sm1 Sm 0.0000 0.0000 0.0000
Y1 Y 0.0000 0.5000 0.0000
Y2 Y 0.0587 0.0000 0.3262
Y3 Y 0.1351 0.5000 0.5033
Y4 Y 0.2108 0.0000 0.9226
Er1 Er 0.1360 0.5000 0.7744
Er2 Er 0.2494 0.0000 0.6838

(5)
# Sm3Y5Er2 | Alexandria via LeMat-Bulk | PBE | optimized geometry
# Uncorrected energy in eV/atom: -5.2507
# E_form in kJ per mole of atoms: 30
# Energy above the most stable polymorph in this dataset in eV/atom: 0.120
# Density of states at the Fermi level in states/eV/cell: 57.8
data_Sm3Y5Er2
_cell_length_a 12.1544
_cell_length_b 17.1476
_cell_length_c 6.3791
_cell_angle_alpha 90.00
_cell_angle_beta 90.00
_cell_angle_gamma 90.00
_space_group_name_H-M_alt 'I b a m'
_space_group_IT_number 72
_space_group_name_Hall '-I 2 2c'
loop_
_atom_site_label
_atom_site_type_symbol
_atom_site_fract_x
_atom_site_fract_y
_atom_site_fract_z
Sm1 Sm 0.0000 0.0000 0.2500
Sm2 Sm 0.0837 0.3316 0.0000
Y1 Y 0.0000 0.5000 0.2500
Y2 Y 0.2435 0.1730 0.0000
Y3 Y 0.2490 0.5000 0.2500
Er1 Er 0.0900 0.1658 0.5000

(6)
# Sm2Y2Er3 | Alexandria via LeMat-Bulk | PBE | optimized geometry
# Uncorrected energy in eV/atom: -5.0327
# E_form in kJ per mole of atoms: 11
# Energy above the most stable polymorph in this dataset in eV/atom: 0.000
# Density of states at the Fermi level in states/eV/cell: 22.2
data_Sm2Y2Er3
_cell_length_a 17.4645
_cell_length_b 3.5102
_cell_length_c 8.5093
_cell_angle_alpha 90.00
_cell_angle_beta 119.04
_cell_angle_gamma 90.00
_space_group_name_H-M_alt 'C 1 2/m 1'
_space_group_IT_number 12
_space_group_name_Hall '-C 2y'
loop_
_atom_site_label
_atom_site_type_symbol
_atom_site_fract_x
_atom_site_fract_y
_atom_site_fract_z
Sm1 Sm 0.0668 0.0000 0.4102
Y1 Y 0.1486 0.5000 0.8308
Er1 Er 0.0000 0.5000 0.0000
Er2 Er 0.2115 0.5000 0.3011

(7)
# Sm7YEr3 | Alexandria via LeMat-Bulk | PBE | optimized geometry
# Uncorrected energy in eV/atom: -4.7125
# E_form in kJ per mole of atoms: 12
# Energy above the most stable polymorph in this dataset in eV/atom: 0.000
# Density of states at the Fermi level in states/eV/cell: 15.9
data_Sm7YEr3
_cell_length_a 7.0691
_cell_length_b 5.6044
_cell_length_c 9.9402
_cell_angle_alpha 90.00
_cell_angle_beta 110.35
_cell_angle_gamma 90.00
_space_group_name_H-M_alt 'P 1 2/m 1'
_space_group_IT_number 10
_space_group_name_Hall '-P 2y'
loop_
_atom_site_label
_atom_site_type_symbol
_atom_site_fract_x
_atom_site_fract_y
_atom_site_fract_z
Sm1 Sm 0.0000 0.0000 0.0000
Sm2 Sm 0.1470 0.5000 0.2920
Sm3 Sm 0.3222 0.5000 0.6412
Sm4 Sm 0.4184 0.0000 0.8299
Y1 Y 0.0000 0.0000 0.5000
Er1 Er 0.2792 0.5000 0.9987
Er2 Er 0.5000 0.0000 0.5000

(8)
# Sm5Y2Er6 | Alexandria via LeMat-Bulk | PBE | optimized geometry
# Uncorrected energy in eV/atom: -4.8199
# E_form in kJ per mole of atoms: 9
# Density of states at the Fermi level in states/eV/cell: 33.5
data_Sm5Y2Er6
_cell_length_a 11.6489
_cell_length_b 20.3488
_cell_length_c 3.5708
_cell_angle_alpha 90.00
_cell_angle_beta 90.00
_cell_angle_gamma 90.00
_space_group_name_H-M_alt 'P b a m'
_space_group_IT_number 55
_space_group_name_Hall '-P 2 2ab'
loop_
_atom_site_label
_atom_site_type_symbol
_atom_site_fract_x
_atom_site_fract_y
_atom_site_fract_z
Sm1 Sm 0.0000 0.0000 0.0000
Sm2 Sm 0.0897 0.2744 0.0000
Sm3 Sm 0.1998 0.5503 0.0000
Y1 Y 0.1681 0.7116 0.5000
Er1 Er 0.0596 0.4195 0.5000
Er2 Er 0.0799 0.1325 0.5000
Er3 Er 0.1755 0.8653 0.0000

(9)
# Sm10Y6Er | Alexandria via LeMat-Bulk | PBE | optimized geometry
# Uncorrected energy in eV/atom: -5.1958
# E_form in kJ per mole of atoms: 13
# Density of states at the Fermi level in states/eV/cell: 24.6
data_Sm10Y6Er
_cell_length_a 9.7939
_cell_length_b 9.7939
_cell_length_c 6.8820
_cell_angle_alpha 90.00
_cell_angle_beta 90.00
_cell_angle_gamma 120.00
_space_group_name_H-M_alt 'P -3 1 m'
_space_group_IT_number 162
_space_group_name_Hall '-P 3 2'
loop_
_atom_site_label
_atom_site_type_symbol
_atom_site_fract_x
_atom_site_fract_y
_atom_site_fract_z
Sm1 Sm 0.0000 0.2734 0.1847
Sm2 Sm 0.3333 0.6667 0.0000
Sm3 Sm 0.3333 0.6667 0.5000
Y1 Y 0.0000 0.3721 0.6936
Er1 Er 0.0000 0.0000 0.5000

(10)
# Sm19Y6Er4 | Alexandria via LeMat-Bulk | PBE | optimized geometry
# Uncorrected energy in eV/atom: -4.6869
# E_form in kJ per mole of atoms: 36
# Density of states at the Fermi level in states/eV/cell: 87.6
data_Sm19Y6Er4
_cell_length_a 12.5848
_cell_length_b 12.5848
_cell_length_c 12.5848
_cell_angle_alpha 90.00
_cell_angle_beta 90.00
_cell_angle_gamma 90.00
_space_group_name_H-M_alt 'I 2 3'
_space_group_IT_number 197
_space_group_name_Hall 'I 2 2 3'
loop_
_atom_site_label
_atom_site_type_symbol
_atom_site_fract_x
_atom_site_fract_y
_atom_site_fract_z
Sm1 Sm 0.0000 0.0000 0.0000
Sm2 Sm 0.0000 0.0000 0.2576
Sm3 Sm 0.0629 0.2808 0.7419
Y1 Y 0.0000 0.1270 0.5000
Er1 Er 0.1801 0.1801 0.1801

(11)
# Sm4Y5Er2 | Alexandria via LeMat-Bulk | PBE | optimized geometry
# Uncorrected energy in eV/atom: -5.3839
# E_form in kJ per mole of atoms: 10
# Energy above the most stable polymorph in this dataset in eV/atom: 0.000
# Density of states at the Fermi level in states/eV/cell: 36.2
data_Sm4Y5Er2
_cell_length_a 24.0430
_cell_length_b 3.5484
_cell_length_c 8.6241
_cell_angle_alpha 90.00
_cell_angle_beta 94.72
_cell_angle_gamma 90.00
_space_group_name_H-M_alt 'C 1 2/m 1'
_space_group_IT_number 12
_space_group_name_Hall '-C 2y'
loop_
_atom_site_label
_atom_site_type_symbol
_atom_site_fract_x
_atom_site_fract_y
_atom_site_fract_z
Sm1 Sm 0.0392 0.0000 0.3443
Sm2 Sm 0.2242 0.5000 0.8274
Y1 Y 0.0000 0.5000 0.0000
Y2 Y 0.1302 0.0000 0.0463
Y3 Y 0.1846 0.0000 0.4741
Er1 Er 0.0878 0.5000 0.6951

(12)
# Sm3Y2Er3 | Alexandria via LeMat-Bulk | PBE | optimized geometry
# Uncorrected energy in eV/atom: -5.0749
# E_form in kJ per mole of atoms: 2
# Energy above the most stable polymorph in this dataset in eV/atom: 0.008
# Density of states at the Fermi level in states/eV/cell: 23.6
data_Sm3Y2Er3
_cell_length_a 5.0378
_cell_length_b 5.0497
_cell_length_c 20.2188
_cell_angle_alpha 90.00
_cell_angle_beta 90.00
_cell_angle_gamma 90.00
_space_group_name_H-M_alt 'I m m m'
_space_group_IT_number 71
_space_group_name_Hall '-I 2 2'
loop_
_atom_site_label
_atom_site_type_symbol
_atom_site_fract_x
_atom_site_fract_y
_atom_site_fract_z
Sm1 Sm 0.0000 0.0000 0.0000
Sm2 Sm 0.0000 0.5000 0.1238
Y1 Y 0.0000 0.0000 0.2495
Er1 Er 0.0000 0.0000 0.5000
Er2 Er 0.0000 0.5000 0.3751

(13)
# Sm4YEr5 | Alexandria via LeMat-Bulk | PBE | optimized geometry
# Uncorrected energy in eV/atom: -4.6209
# E_form in kJ per mole of atoms: 19
# Energy above the most stable polymorph in this dataset in eV/atom: 0.000
# Density of states at the Fermi level in states/eV/cell: 26.3
data_Sm4YEr5
_cell_length_a 17.1041
_cell_length_b 3.5147
_cell_length_c 11.1225
_cell_angle_alpha 90.00
_cell_angle_beta 90.16
_cell_angle_gamma 90.00
_space_group_name_H-M_alt 'C 1 2/m 1'
_space_group_IT_number 12
_space_group_name_Hall '-C 2y'
loop_
_atom_site_label
_atom_site_type_symbol
_atom_site_fract_x
_atom_site_fract_y
_atom_site_fract_z
Sm1 Sm 0.0310 0.0000 0.2486
Sm2 Sm 0.1550 0.5000 0.7501
Y1 Y 0.0000 0.5000 0.5000
Er1 Er 0.0000 0.5000 0.0000
Er2 Er 0.1737 0.0000 0.0508
Er3 Er 0.1744 0.0000 0.4471

(14)
# Sm2Y7Er2 | Alexandria via LeMat-Bulk | PBE | optimized geometry
# Uncorrected energy in eV/atom: -5.6952
# E_form in kJ per mole of atoms: 10
# Energy above the most stable polymorph in this dataset in eV/atom: 0.000
# Density of states at the Fermi level in states/eV/cell: 38.9
data_Sm2Y7Er2
_cell_length_a 8.9681
_cell_length_b 9.4946
_cell_length_c 8.6957
_cell_angle_alpha 90.00
_cell_angle_beta 102.06
_cell_angle_gamma 90.00
_space_group_name_H-M_alt 'C 1 2/m 1'
_space_group_IT_number 12
_space_group_name_Hall '-C 2y'
loop_
_atom_site_label
_atom_site_type_symbol
_atom_site_fract_x
_atom_site_fract_y
_atom_site_fract_z
Sm1 Sm 0.0000 0.1775 0.0000
Y1 Y 0.0000 0.5000 0.5000
Y2 Y 0.1513 0.5000 0.9069
Y3 Y 0.2355 0.1827 0.7056
Er1 Er 0.1046 0.0000 0.3543

(15)
# SmYEr2 | Alexandria via LeMat-Bulk | PBE | optimized geometry
# Uncorrected energy in eV/atom: -4.9482
# E_form in kJ per mole of atoms: 12
# Energy above the most stable polymorph in this dataset in eV/atom: 0.119
# Density of states at the Fermi level in states/eV/cell: 34.9
data_SmYEr2
_cell_length_a 8.0208
_cell_length_b 8.0208
_cell_length_c 8.0208
_cell_angle_alpha 90.00
_cell_angle_beta 90.00
_cell_angle_gamma 90.00
_space_group_name_H-M_alt 'F m -3 m'
_space_group_IT_number 225
_space_group_name_Hall '-F 4 2 3'
loop_
_atom_site_label
_atom_site_type_symbol
_atom_site_fract_x
_atom_site_fract_y
_atom_site_fract_z
Sm1 Sm 0.0000 0.0000 0.0000
Y1 Y 0.0000 0.0000 0.5000
Er1 Er 0.2500 0.2500 0.2500

(16)
# Sm6YEr5 | Alexandria via LeMat-Bulk | PBE | optimized geometry
# Uncorrected energy in eV/atom: -4.7804
# E_form in kJ per mole of atoms: 2
# Energy above the most stable polymorph in this dataset in eV/atom: 0.004
# Density of states at the Fermi level in states/eV/cell: 33.5
data_Sm6YEr5
_cell_length_a 5.0628
_cell_length_b 15.1910
_cell_length_c 10.0566
_cell_angle_alpha 90.00
_cell_angle_beta 90.00
_cell_angle_gamma 90.00
_space_group_name_H-M_alt 'C m m m'
_space_group_IT_number 65
_space_group_name_Hall '-C 2 2'
loop_
_atom_site_label
_atom_site_type_symbol
_atom_site_fract_x
_atom_site_fract_y
_atom_site_fract_z
Sm1 Sm 0.0000 0.0000 0.2489
Sm2 Sm 0.0000 0.3330 0.2493
Y1 Y 0.0000 0.5000 0.5000
Er1 Er 0.0000 0.1666 0.0000
Er2 Er 0.0000 0.1674 0.5000
Er3 Er 0.0000 0.5000 0.0000

(17)
# SmYEr3 | Alexandria via LeMat-Bulk | PBE | optimized geometry
# Uncorrected energy in eV/atom: -4.6582
# E_form in kJ per mole of atoms: 31
# Energy above the most stable polymorph in this dataset in eV/atom: 0.311
# Density of states at the Fermi level in states/eV/cell: 17.6
data_SmYEr3
_cell_length_a 3.5845
_cell_length_b 11.4990
_cell_length_c 8.6087
_cell_angle_alpha 90.00
_cell_angle_beta 101.92
_cell_angle_gamma 90.00
_space_group_name_H-M_alt 'P 1 21/m 1'
_space_group_IT_number 11
_space_group_name_Hall '-P 2yb'
loop_
_atom_site_label
_atom_site_type_symbol
_atom_site_fract_x
_atom_site_fract_y
_atom_site_fract_z
Sm1 Sm 0.0186 0.2500 0.0418
Y1 Y 0.3052 0.7500 0.6094
Er1 Er 0.1594 0.5010 0.3173
Er2 Er 0.3558 0.2500 0.7137

(18)
# SmY4Er | Alexandria via LeMat-Bulk | PBE | optimized geometry
# Uncorrected energy in eV/atom: -5.6603
# E_form in kJ per mole of atoms: 19
# Energy above the most stable polymorph in this dataset in eV/atom: 0.187
# Density of states at the Fermi level in states/eV/cell: 13.6
data_SmY4Er
_cell_length_a 3.4565
_cell_length_b 5.8571
_cell_length_c 9.8880
_cell_angle_alpha 90.00
_cell_angle_beta 90.00
_cell_angle_gamma 90.00
_space_group_name_H-M_alt 'P m m m'
_space_group_IT_number 47
_space_group_name_Hall '-P 2 2'
loop_
_atom_site_label
_atom_site_type_symbol
_atom_site_fract_x
_atom_site_fract_y
_atom_site_fract_z
Sm1 Sm 0.0000 0.0000 0.0000
Y1 Y 0.0000 0.5000 0.1883
Y2 Y 0.5000 0.0000 0.3150
Er1 Er 0.5000 0.5000 0.5000

(19)
# Sm3YEr | Alexandria via LeMat-Bulk | PBE | optimized geometry
# Uncorrected energy in eV/atom: -5.0195
# E_form in kJ per mole of atoms: 2
# Energy above the most stable polymorph in this dataset in eV/atom: 0.000
# Density of states at the Fermi level in states/eV/cell: 16.7
data_Sm3YEr
_cell_length_a 6.3356
_cell_length_b 5.7364
_cell_length_c 9.6847
_cell_angle_alpha 90.00
_cell_angle_beta 109.06
_cell_angle_gamma 90.00
_space_group_name_H-M_alt 'P 1 21/m 1'
_space_group_IT_number 11
_space_group_name_Hall '-P 2yb'
loop_
_atom_site_label
_atom_site_type_symbol
_atom_site_fract_x
_atom_site_fract_y
_atom_site_fract_z
Sm1 Sm 0.0299 0.2500 0.3985
Sm2 Sm 0.1645 0.7500 0.9978
Sm3 Sm 0.4326 0.2500 0.1996
Y1 Y 0.3647 0.7500 0.3995
Er1 Er 0.2362 0.2500 0.7984

(20)
# Sm7Y2Er2 | Alexandria via LeMat-Bulk | PBE | optimized geometry
# Uncorrected energy in eV/atom: -4.8569
# E_form in kJ per mole of atoms: 15
# Energy above the most stable polymorph in this dataset in eV/atom: 0.008
# Density of states at the Fermi level in states/eV/cell: 30.1
data_Sm7Y2Er2
_cell_length_a 11.5260
_cell_length_b 11.3739
_cell_length_c 6.0605
_cell_angle_alpha 90.00
_cell_angle_beta 112.37
_cell_angle_gamma 90.00
_space_group_name_H-M_alt 'C 1 2/m 1'
_space_group_IT_number 12
_space_group_name_Hall '-C 2y'
loop_
_atom_site_label
_atom_site_type_symbol
_atom_site_fract_x
_atom_site_fract_y
_atom_site_fract_z
Sm1 Sm 0.0000 0.0000 0.0000
Sm2 Sm 0.1804 0.2289 0.1749
Sm3 Sm 0.2344 0.0000 0.5977
Y1 Y 0.0000 0.2174 0.5000
Er1 Er 0.0802 0.5000 0.7992